(1)
Density functional theory data (GGA-PBE) for an optimized crystal structure of Pr2WN6.

Calculated values
The calculation puts the density of states at the Fermi level at 0.707 states/eV per atom. The calculation puts the uncorrected formation energy at 271 kJ/mol of formula units. The calculation puts the uncorrected energy at -69.7 eV/f.u. Its volume is 17.06 A^3/atom.

Unit cell a=5.357 b=5.357 c=10.699 alpha=90.00 beta=90.00 gamma=90.00
Fractional coordinates of all 18 atoms:
Pr 0.000 0.000 0.327
Pr 0.500 0.500 0.827
Pr 0.500 0.500 0.173
Pr 0.000 0.000 0.673
W 0.000 0.000 0.000
W 0.500 0.500 0.500
N 0.319 0.319 0.363
N 0.681 0.681 0.363
N 0.181 0.819 0.863
N 0.819 0.181 0.863
N 0.181 0.819 0.137
N 0.819 0.181 0.137
N 0.319 0.319 0.637
N 0.681 0.681 0.637
N 0.268 0.268 0.000
N 0.732 0.732 0.000
N 0.232 0.768 0.500
N 0.768 0.232 0.500

=====

(2)
Density functional theory data (GGA-PBE) for an optimized crystal structure of PrWN2.

Calculated values
The calculation puts the density of states at the Fermi level at 0.300 states/eV per atom. The calculation puts the uncorrected formation energy at 0 kJ/mol of formula units. The calculation puts the uncorrected energy at -34.4 eV/f.u. As for the energy relative to the lowest polymorph listed for this composition: 621 meV per atom. Its volume is 12.21 A^3/atom.

Unit cell a=2.849 b=2.849 c=6.018 alpha=90.00 beta=90.00 gamma=90.00
Fractional coordinates of all 4 atoms:
Pr 0.500 0.500 0.500
W 0.500 0.500 0.000
N 0.000 0.000 0.798
N 0.000 0.000 0.202